[1]
A plane-wave DFT calculation with PBE was carried out for TaOsAu2 after structural relaxation.

a b c (Å): 9.767 3.066 4.607
angles (deg): 90.00 101.98 90.00
Space group C2/m (No. 12)
Inequivalent atoms, fractional coordinates:
Ta (0.000, 0.000, 0.000) x2
Os (0.000, 0.500, 0.500) x2
Au (0.250, 0.000, 0.750) x4

crystal system	monoclinic
D(E_F)	0.76	states/eV per atom
formation energy	0.7	eV/f.u.
excess energy over the best structure of this formula in the dataset	143.3	meV per atom


[2]
A plane-wave DFT calculation with PBE was carried out for BaBe2Sb after structural relaxation.

a b c (Å): 4.683 4.683 4.339
angles (deg): 90.00 90.00 90.00
Space group P4/mmm (No. 123)
Inequivalent atoms, fractional coordinates:
Ba (0.000, 0.000, 0.000) x1
Be (0.000, 0.500, 0.500) x2
Sb (0.500, 0.500, 0.000) x1

formation energy (no corrections)	2.4	eV per formula unit
crystal system	tetragonal
D(E_F)	0.51	states/eV per atom


[3]
A plane-wave DFT calculation with PBE was carried out for Ac6SbP3S2 after structural relaxation.

a b c (Å): 19.510 4.465 8.951
angles (deg): 90.00 103.66 90.00
Space group C2/m (No. 12)
Inequivalent atoms, fractional coordinates:
Ac (0.001, 0.000, 0.235) x4
Ac (0.165, 0.500, 0.087) x4
Ac (0.172, 0.500, 0.581) x4
Sb (0.000, 0.500, 0.500) x2
P (0.000, 0.500, 0.000) x2
P (0.166, 0.000, 0.329) x4
S (0.170, 0.000, 0.838) x4

formation energy (no corrections)	-19.5	eV per formula unit
crystal system	monoclinic
D(E_F)	0.31	states/eV per atom


[4]
A plane-wave DFT calculation with PBE was carried out for MgSb2Pd after structural relaxation.

a b c (Å): 3.3044 3.3044 30.8249
angles (deg): 90.00 90.00 120.00
Space group R-3m (No. 166, hexagonal axes)
Inequivalent atoms, fractional coordinates:
Mg (0.0000, 0.0000, 0.0000) x3
Sb (0.0000, 0.0000, 0.0997) x6
Pd (0.0000, 0.0000, 0.5000) x3

formation energy (no corrections)	-0.4	eV per formula unit
crystal system	trigonal
D(E_F)	0.61	states/eV per atom


[5]
A plane-wave DFT calculation with PBE was carried out for Ac2YIn4 after structural relaxation.

a b c (Å): 5.556 5.556 15.137
angles (deg): 90.00 90.00 90.00
Space group I4/mmm (No. 139)
Inequivalent atoms, fractional coordinates:
Ac (0.000, 0.000, 0.245) x4
Y (0.000, 0.000, 0.500) x2
In (0.000, 0.500, 0.103) x8

crystal system	tetragonal
D(E_F)	0.90	states/eV per atom
formation energy	-2.0	eV/f.u.


[6]
A plane-wave DFT calculation with PBE was carried out for Mg4ZnCu2 after structural relaxation.

a b c (Å): 6.833 6.833 5.481
angles (deg): 90.00 90.00 90.00
Space group I4/mmm (No. 139)
Inequivalent atoms, fractional coordinates:
Mg (0.216, 0.216, 0.000) x8
Zn (0.000, 0.000, 0.500) x2
Cu (0.000, 0.500, 0.250) x4

crystal system	tetragonal
D(E_F)	0.13	states/eV per atom
formation energy	0.6	eV/f.u.
excess energy over the best structure of this formula in the dataset	132.4	meV per atom


no.,V (Å³ per atom)
1,16.87
2,23.79
3,31.57
4,24.29
5,33.38
6,18.28